Compound: Y2LuCu4Si2Ge2
Source: OQMD via LeMat-Bulk
Functional: PBE
Structure: relaxed

Calculated values
E = -5.386 eV per atom
Excess energy over the best structure of this formula in the dataset = 8 meV per atom

abc: 4.1826 6.5638 13.7617
angles: 90.00 90.00 90.00
Closest atoms and distances in Å follow each position.
Space group Immm (No. 71)
Symmetry-distinct sites (fractional):
Y1 0.0000 0.0000 0.1296 x4  6 Cu 2.96-3.12, 2 Ge 2.99, 4 Si 3.01
Lu1 0.0000 0.5000 0.0000 x2  4 Si 2.94, 2 Ge 2.96
Cu1 0.0000 0.1894 0.3373 x8  1 Si 2.39, 1 Cu 2.49, 3 Ge 2.54-2.64
Si1 0.0000 0.3146 0.5000 x4  2 Cu 2.39, 1 Si 2.43
Ge1 0.0000 0.5000 0.2154 x4  6 Cu 2.54-2.64